GGA-PBE DyHo2Fe2Co7, optimized geometry; DFT total energy = -6.87 eV/atom; formation energy = -2.28 eV/f.u.
1.0
-8.401 0.292 -0.360
-7.109 -4.408 0.909
-7.132 -0.773 4.396
Co Dy Fe Ho
7 1 2 2
direct
0.583 0.583 0.080
0.920 0.417 0.417
0.417 0.920 0.417
0.500 0.500 0.500
0.583 0.080 0.583
0.080 0.583 0.583
0.417 0.417 0.920
0.000 0.000 0.000
0.334 0.334 0.334
0.666 0.666 0.666
0.141 0.141 0.141
0.859 0.859 0.859

---

GGA-PBE Dy2HoFeCo8, optimized geometry; DFT total energy = -6.75 eV/atom; formation energy = -2.11 eV/f.u.
1.0
3.366 3.129 7.153
5.851 5.188 3.336
1.376 6.977 4.660
Co Dy Fe Ho
8 2 1 1
direct
0.583 0.583 0.079
0.334 0.334 0.334
0.921 0.417 0.417
0.417 0.921 0.417
0.583 0.079 0.583
0.079 0.583 0.583
0.666 0.666 0.666
0.417 0.417 0.921
0.139 0.139 0.139
0.861 0.861 0.861
0.500 0.500 0.500
0.000 0.000 0.000

---

GGA-PBE DyHoFeCo2, optimized geometry; DFT total energy = -6.53 eV/atom; formation energy = -0.93 eV/f.u.
1.0
-3.399 -4.123 0.099
-0.271 -1.414 5.146
-0.996 4.363 -2.920
Co Dy Fe Ho
2 1 1 1
direct
0.762 0.500 0.262
0.238 0.500 0.738
0.200 0.200 0.000
0.500 0.000 0.500
0.800 0.800 0.000

---

GGA-PBE Dy2HoFe6Co3, optimized geometry; DFT total energy = -7.20 eV/atom; formation energy = -1.42 eV/f.u.
1.0
5.648 1.937 6.205
7.427 3.909 1.927
3.802 6.294 4.482
Co Dy Fe Ho
3 2 6 1
direct
0.333 0.333 0.333
0.500 0.500 0.500
0.667 0.667 0.667
0.142 0.142 0.142
0.858 0.858 0.858
0.581 0.581 0.082
0.918 0.419 0.419
0.419 0.918 0.419
0.581 0.082 0.581
0.082 0.581 0.581
0.419 0.419 0.918
0.000 0.000 0.000

---

GGA-PBE Dy2HoFe2Co7, optimized geometry; DFT total energy = -6.86 eV/atom; formation energy = -2.18 eV/f.u.
1.0
3.366 -3.725 6.765
4.514 1.167 7.017
-0.051 -0.421 8.414
Co Dy Fe Ho
7 2 2 1
direct
0.582 0.582 0.080
0.418 0.920 0.418
0.920 0.418 0.418
0.500 0.500 0.500
0.582 0.080 0.582
0.080 0.582 0.582
0.418 0.418 0.920
0.141 0.141 0.141
0.859 0.859 0.859
0.334 0.334 0.334
0.666 0.666 0.666
0.000 0.000 0.000

---

GGA-PBE DyHo2Fe2CoNi6, optimized geometry; DFT total energy = -6.22 eV/atom; formation energy = -3.75 eV/f.u.
1.0
5.136 -4.677 5.013
7.902 -1.003 3.151
4.912 -0.144 7.017
Co Dy Fe Ho Ni
1 1 2 2 6
direct
0.500 0.500 0.500
0.000 0.000 0.000
0.333 0.333 0.333
0.667 0.667 0.667
0.140 0.140 0.140
0.860 0.860 0.860
0.581 0.581 0.083
0.917 0.419 0.419
0.419 0.917 0.419
0.581 0.083 0.581
0.083 0.581 0.581
0.419 0.419 0.917

---

GGA-PBE Dy2HoFe2Co6Ni, optimized geometry; DFT total energy = -6.74 eV/atom; formation energy = -2.33 eV/f.u.
1.0
-5.051 4.046 5.570
-2.117 7.496 3.499
-6.131 5.849 1.055
Co Dy Fe Ho Ni
6 2 2 1 1
direct
0.581 0.581 0.080
0.920 0.419 0.419
0.419 0.920 0.419
0.581 0.080 0.581
0.080 0.581 0.581
0.419 0.419 0.920
0.140 0.140 0.140
0.860 0.860 0.860
0.334 0.334 0.334
0.666 0.666 0.666
0.000 0.000 0.000
0.500 0.500 0.500

---

GGA-PBE DyHo2FeCo6Ni2, optimized geometry; DFT total energy = -6.54 eV/atom; formation energy = -2.68 eV/f.u.
1.0
2.480 1.432 8.042
-2.480 1.432 8.042
0.000 -2.863 8.042
Co Dy Fe Ho Ni
6 1 1 2 2
direct
0.583 0.583 0.080
0.920 0.417 0.417
0.417 0.920 0.417
0.583 0.080 0.583
0.080 0.583 0.583
0.417 0.417 0.920
0.000 0.000 0.000
0.500 0.500 0.500
0.139 0.139 0.139
0.861 0.861 0.861
0.334 0.334 0.334
0.666 0.666 0.666

---

GGA-PBE DyHo2Fe2Co6Ni, optimized geometry; DFT total energy = -6.75 eV/atom; formation energy = -2.39 eV/f.u.
1.0
2.485 1.435 8.038
-2.485 1.435 8.038
0.000 -2.870 8.038
Co Dy Fe Ho Ni
6 1 2 2 1
direct
0.582 0.582 0.080
0.920 0.418 0.418
0.418 0.920 0.418
0.582 0.080 0.582
0.080 0.582 0.582
0.418 0.418 0.920
0.000 0.000 0.000
0.334 0.334 0.334
0.666 0.666 0.666
0.140 0.140 0.140
0.860 0.860 0.860
0.500 0.500 0.500

---

GGA-PBE Dy2HoFe2CoNi6, optimized geometry; DFT total energy = -6.22 eV/atom; formation energy = -3.69 eV/f.u.
1.0
0.999 -4.569 7.191
5.474 -2.809 5.978
2.202 0.115 8.290
Co Dy Fe Ho Ni
1 2 2 1 6
direct
0.500 0.500 0.500
0.139 0.139 0.139
0.861 0.861 0.861
0.333 0.333 0.333
0.667 0.667 0.667
0.000 0.000 0.000
0.580 0.580 0.083
0.917 0.420 0.420
0.420 0.917 0.420
0.580 0.083 0.580
0.083 0.580 0.580
0.420 0.420 0.917

---

GGA-PBE Dy2HoFeCo2Ni6, optimized geometry; DFT total energy = -6.06 eV/atom; formation energy = -3.07 eV/f.u.
1.0
2.465 1.423 8.124
-2.465 1.423 8.124
0.000 -2.846 8.124
Co Dy Fe Ho Ni
2 2 1 1 6
direct
0.333 0.333 0.333
0.667 0.667 0.667
0.140 0.140 0.140
0.860 0.860 0.860
0.500 0.500 0.500
0.000 0.000 0.000
0.581 0.581 0.083
0.917 0.419 0.419
0.419 0.917 0.419
0.581 0.083 0.581
0.083 0.581 0.581
0.419 0.419 0.917

---

GGA-PBE DyLu2Fe8Co, optimized geometry; DFT total energy = -7.41 eV/atom; formation energy = -1.75 eV/f.u.
1.0
2.511 1.450 8.007
-2.511 1.450 8.007
0.000 -2.900 8.007
Co Dy Fe Lu
1 1 8 2
direct
0.500 0.500 0.500
0.000 0.000 0.000
0.583 0.583 0.082
0.333 0.333 0.333
0.918 0.417 0.417
0.417 0.918 0.417
0.583 0.082 0.583
0.082 0.583 0.583
0.667 0.667 0.667
0.417 0.417 0.918
0.142 0.142 0.142
0.858 0.858 0.858